First-principles (PBE-GGA) data for a relaxed structure of SiMoCl2, as listed in Alexandria via LeMat-Bulk.

The value obtained for the uncorrected formation energy is 0.31 eV/atom. The calculation puts the energy above the most stable polymorph in this dataset at 249 kJ/mol of formula units.

The structure belongs to space group R-3m (No. 166, hexagonal axes); the cell edges are 3.0124, 3.0124 and 27.7198 Å and the angles 90.00°, 90.00° and 120.00°. The asymmetric unit holds Si at (0.0000, 0.0000, 0.0000), Mo at (0.0000, 0.0000, 0.5000) and Cl at (0.0000, 0.0000, 0.4166).

=====

First-principles (PBE-GGA) data for a relaxed structure of Rb2Ge2Au, as listed in Alexandria via LeMat-Bulk.

The calculation puts the energy above the most stable polymorph in this dataset at 21 kJ/mol of formula units. The value obtained for the formation enthalpy at 0 K is 6 kJ/mol of formula units.

The structure belongs to space group C2/m (No. 12); the cell edges are 8.376, 12.679 and 7.206 Å and the angles 90.00°, 115.79° and 90.00°. The asymmetric unit holds Rb at (0.032, 0.159, 0.261), Ge at (0.162, 0.500, 0.876), Ge at (0.165, 0.500, 0.289) and Au at (0.000, 0.387, 0.500).

=====

First-principles (PBE-GGA) data for a relaxed structure of Li5TlZn2Cd2, as listed in Alexandria via LeMat-Bulk.

The value obtained for the formation enthalpy at 0 K is -112 kJ/mol of formula units.

The structure belongs to space group P4/mbm (No. 127); the cell edges are 10.292, 10.292 and 3.495 Å and the angles 90.00°, 90.00° and 90.00°. The asymmetric unit holds Li at (0.000, 0.500, 0.000), Li at (0.077, 0.201, 0.000), Tl at (0.000, 0.000, 0.500), Zn at (0.125, 0.375, 0.500) and Cd at (0.169, 0.669, 0.500).

=====

First-principles (PBE-GGA) data for a relaxed structure of Ca2SnSb3Pt4, as listed in Alexandria via LeMat-Bulk.

The value obtained for the uncorrected formation energy is -0.72 eV/atom.

The structure belongs to space group P-4m2 (No. 115); the cell edges are 4.593, 4.593 and 10.911 Å and the angles 90.00°, 90.00° and 90.00°. The asymmetric unit holds Ca at (0.000, 0.500, 0.231), Sn at (0.000, 0.000, 0.500), Sb at (0.000, 0.500, 0.871), Sb at (0.500, 0.500, 0.500), Pt at (0.000, 0.000, 0.000), Pt at (0.000, 0.500, 0.632) and Pt at (0.500, 0.500, 0.000).

=====

| no. | total magnetic moment (Bohr magnetons per cell) | final energy (eV per atom) |
| --- | --- | --- |
| 1 | 0.00 | -4.6787 |
| 2 | 0.00 | -2.8775 |
| 3 | 0.00 | -1.7472 |
| 4 | 0.00 | -5.1771 |